8
Lattice="-1.700 3.401 3.791 -4.311 -2.585 0.386 6.831 -10.642 5.015" Properties=species:S:1:pos:R:3 comment="CsCdTeMo | the Alexandria database | PBE-GGA | relaxed" de_polymorph_mev_per_atom=213 e_tot_ev_per_cell=-28.26 pbc="T T T"
Mo 2.408 -8.014 6.149
Cs -2.283 -0.895 1.440
Cd 1.243 -5.870 7.504
Cd -0.016 0.744 4.804
Te -0.680 -3.156 4.203
Cs 3.288 -4.923 3.755
Mo 1.148 -1.401 3.448
Te 4.891 -7.184 6.517

4
Lattice="-3.386 -1.025 0.722 1.244 -3.008 1.563 0.408 4.446 8.231" Properties=species:S:1:pos:R:3 comment="CsCdTeMo | the Alexandria database | PBE-GGA | relaxed" de_polymorph_mev_per_atom=243 e_tot_ev_per_cell=-14.01 pbc="T T T"
Cd 0.360 3.917 7.252
Mo 0.215 2.340 4.332
Te -0.813 0.791 6.340
Cs -0.986 -1.091 2.856

8
Lattice="9.687 0.000 0.005 0.000 3.845 0.000 -1.534 0.000 6.464" Properties=species:S:1:pos:R:3 comment="CsCdTeMo | the Alexandria database | PBE-GGA | relaxed" de_polymorph_mev_per_atom=93 e_tot_ev_per_cell=-29.22 pbc="T T T"
Cd 0.454 1.922 3.499
Cd 1.221 0.000 0.267
Mo 2.756 1.922 1.763
Te 3.239 1.922 6.427
Te 4.005 0.000 3.195
Cs 7.357 0.000 1.705
Cs 6.590 1.922 4.937
Mo 1.989 0.000 4.995